Here is a geometry-optimized Na17TlIn11 structure from Alexandria. Energies are from PBE.

Results
total magnetization: 0.00 μB per cell
formation energy: -0.1165 eV per atom
space-group type: Cm, No. 8

Unit cell a=10.2221 b=10.2221 c=10.2663 alpha=109.53 beta=109.53 gamma=109.34
Fractional coordinates of all 29 atoms:
Na 0.6921 0.6921 0.2801
Na 0.3109 0.5910 0.9982
Na 0.0008 0.0008 0.3475
Na 0.0005 0.3477 0.0003
Na 0.3477 0.0005 0.0003
Na 0.2789 0.6884 0.6885
Na 0.3108 0.9984 0.5903
Na 0.7213 0.4089 0.4103
Na 0.6884 0.2789 0.6885
Na 0.9984 0.3108 0.5903
Na 0.4094 0.4094 0.7214
Na 0.0010 0.0010 0.0006
Na 0.5897 0.9994 0.3112
Na 0.6529 0.6529 0.6544
Na 0.5910 0.3109 0.9982
Na 0.9994 0.5897 0.3112
Na 0.4089 0.7213 0.4103
In 0.8155 0.1846 0.1847
In 0.1830 0.3675 0.3707
In 0.6306 0.8147 0.0001
In 0.3675 0.1830 0.3707
In 0.0002 0.6307 0.8153
In 0.1846 0.8155 0.1847
In 0.6307 0.0002 0.8153
In 0.8127 0.9983 0.6302
In 0.8147 0.6306 0.0001
In 0.1823 0.1823 0.8101
In 0.9983 0.8127 0.6302
Tl 0.3778 0.3778 0.1860